Density functional theory data (PBE with a Hubbard U) for a relaxed structure of NaMn2Mo2H3O10.

Geometry as CIF:
```
data_NaMn2Mo2H3O10
_cell_length_a 6.567
_cell_length_b 6.567
_cell_length_c 7.680
_cell_angle_alpha 120.49
_cell_angle_beta 120.49
_cell_angle_gamma 76.07
_space_group_name_H-M_alt 'P 1'
_space_group_IT_number 1
_space_group_name_Hall 'P 1'
loop_
_atom_site_label
_atom_site_type_symbol
_atom_site_fract_x
_atom_site_fract_y
_atom_site_fract_z
Na1 Na 0.000 0.000 0.000
Mn1 Mn 0.359 0.087 0.589
Mn2 Mn 0.913 0.641 0.411
Mo1 Mo 0.326 0.505 0.176
Mo2 Mo 0.495 0.674 0.824
H1 H 0.013 0.089 0.735
H2 H 0.906 0.094 0.500
H3 H 0.911 0.987 0.265
O1 O 0.128 0.427 0.237
O2 O 0.190 0.724 0.766
O3 O 0.276 0.308 0.889
O4 O 0.276 0.810 0.234
O5 O 0.515 0.369 0.646
O6 O 0.573 0.872 0.763
O7 O 0.631 0.485 0.354
O8 O 0.692 0.724 0.111
O9 O 0.870 0.010 0.593
O10 O 0.990 0.130 0.407
```

Calculated values
E above lowest polymorph ... 0.119 eV/atom
Final energy ... -6.4668 eV per atom